Material: LiBiPt3
Method: DFT, PBE-GGA
State: relaxed

```
data_LiBiPt3
_symmetry_space_group_name_H-M 'P m -3 m'
_symmetry_Int_Tables_number 221
_symmetry_space_group_name_Hall '-P 4 2 3'
_cell_length_a 5.126
_cell_length_b 5.126
_cell_length_c 5.126
_cell_angle_alpha 90.00
_cell_angle_beta 90.00
_cell_angle_gamma 90.00
loop_
_atom_site_label
_atom_site_fract_x
_atom_site_fract_y
_atom_site_fract_z
Li1 0.000 0.000 0.000
Bi1 0.500 0.500 0.500
Pt1 0.000 0.500 0.500
```

Calculated values
Distance to the lowest polymorph of the same formula in eV/atom: 0.5255
Raw total energy in eV/atom: -4.04



Material: LaMn2Sb
Method: DFT, PBE-GGA
State: relaxed

```
data_LaMn2Sb
_symmetry_space_group_name_H-M 'R -3 m'
_symmetry_Int_Tables_number 166
_symmetry_space_group_name_Hall '-R 3 2"'
_cell_length_a 4.5200
_cell_length_b 4.5200
_cell_length_c 14.5425
_cell_angle_alpha 90.00
_cell_angle_beta 90.00
_cell_angle_gamma 120.00
loop_
_atom_site_label
_atom_site_fract_x
_atom_site_fract_y
_atom_site_fract_z
La1 0.0000 0.0000 0.0000
Mn1 0.0000 0.0000 0.1944
Sb1 0.0000 0.0000 0.5000
```

Calculated values
Formation energy without anion corrections in kJ/mol of formula units: -28
Raw total energy in eV/atom: -6.92



Material: CaTaPb
Method: DFT, PBE-GGA
State: relaxed

```
data_CaTaPb
_symmetry_space_group_name_H-M 'F -4 3 m'
_symmetry_Int_Tables_number 216
_symmetry_space_group_name_Hall 'F -4 2 3'
_cell_length_a 7.034
_cell_length_b 7.034
_cell_length_c 7.034
_cell_angle_alpha 90.00
_cell_angle_beta 90.00
_cell_angle_gamma 90.00
loop_
_atom_site_label
_atom_site_fract_x
_atom_site_fract_y
_atom_site_fract_z
Ca1 0.000 0.000 0.000
Ta1 0.000 0.000 0.500
Pb1 0.250 0.250 0.750
```

Calculated values
Distance to the lowest polymorph of the same formula in eV/atom: 0.4035
Raw total energy in eV/atom: -5.09



Material: ZrV12Ge6
Method: DFT, PBE-GGA
State: relaxed

```
data_ZrV12Ge6
_symmetry_space_group_name_H-M 'R -3 m'
_symmetry_Int_Tables_number 166
_symmetry_space_group_name_Hall '-R 3 2"'
_cell_length_a 11.0030
_cell_length_b 11.0030
_cell_length_c 8.4483
_cell_angle_alpha 90.00
_cell_angle_beta 90.00
_cell_angle_gamma 120.00
loop_
_atom_site_label
_atom_site_fract_x
_atom_site_fract_y
_atom_site_fract_z
Zr1 0.0000 0.0000 0.0000
V1 0.0000 0.3899 0.5000
V2 0.0831 0.1662 0.3217
Ge1 0.0255 0.5127 0.2469
```

Calculated values
Raw total energy in eV/atom: -7.68



Material: Nd2NpN4
Method: DFT, PBE-GGA
State: relaxed

```
data_Nd2NpN4
_symmetry_space_group_name_H-M 'P 1 2/m 1'
_symmetry_Int_Tables_number 10
_cell_length_a 5.777
_cell_length_b 3.612
_cell_length_c 6.056
_cell_angle_alpha 90.00
_cell_angle_beta 116.33
_cell_angle_gamma 90.00
loop_
_symmetry_equiv_pos_as_xyz
'x,y,z'
'-x,-y,-z'
'-x,y,-z'
'x,-y,z'
loop_
_atom_site_label
_atom_site_fract_x
_atom_site_fract_y
_atom_site_fract_z
Nd1 0.171 0.000 0.304
Np1 0.500 0.500 0.000
N1 0.115 0.500 0.990
N2 0.405 0.000 0.736
```

Calculated values
Distance to the lowest polymorph of the same formula in eV/atom: 0.2912
Formation energy without anion corrections in kJ/mol of formula units: -696
Raw total energy in eV/atom: -9.00



Material: ThPbCl6
Method: DFT, PBE-GGA
State: relaxed

```
data_ThPbCl6
_symmetry_space_group_name_H-M 'R -3'
_symmetry_Int_Tables_number 148
_symmetry_space_group_name_Hall '-R 3'
_cell_length_a 7.0255
_cell_length_b 7.0255
_cell_length_c 19.3708
_cell_angle_alpha 90.00
_cell_angle_beta 90.00
_cell_angle_gamma 120.00
loop_
_atom_site_label
_atom_site_fract_x
_atom_site_fract_y
_atom_site_fract_z
Th1 0.0000 0.0000 0.0000
Pb1 0.0000 0.0000 0.5000
Cl1 0.0025 0.6872 0.0804
```

Calculated values
Formation energy without anion corrections in kJ/mol of formula units: -1372
Raw total energy in eV/atom: -4.55



Material: InB2Rh2
Method: DFT, PBE-GGA
State: relaxed

```
data_InB2Rh2
_symmetry_space_group_name_H-M 'I 4/m m m'
_symmetry_Int_Tables_number 139
_symmetry_space_group_name_Hall '-I 4 2'
_cell_length_a 2.944
_cell_length_b 2.944
_cell_length_c 14.561
_cell_angle_alpha 90.00
_cell_angle_beta 90.00
_cell_angle_gamma 90.00
loop_
_atom_site_label
_atom_site_fract_x
_atom_site_fract_y
_atom_site_fract_z
In1 0.000 0.000 0.000
B1 0.000 0.500 0.250
Rh1 0.000 0.000 0.357
```

Calculated values
Distance to the lowest polymorph of the same formula in eV/atom: 0.0000
Raw total energy in eV/atom: -6.39



Material: PuNiSb3
Method: DFT, PBE-GGA
State: relaxed

```
data_PuNiSb3
_symmetry_space_group_name_H-M 'P b c m'
_symmetry_Int_Tables_number 57
_cell_length_a 12.454
_cell_length_b 6.152
_cell_length_c 6.018
_cell_angle_alpha 90.00
_cell_angle_beta 90.00
_cell_angle_gamma 90.00
loop_
_symmetry_equiv_pos_as_xyz
'x,y,z'
'-x,-y,-z'
'-x,-y,z+1/2'
'x,y,-z+1/2'
'x,-y+1/2,-z'
'-x,y+1/2,z'
'-x,y+1/2,-z+1/2'
'x,-y+1/2,z+1/2'
loop_
_atom_site_label
_atom_site_fract_x
_atom_site_fract_y
_atom_site_fract_z
Pu1 0.195 0.003 0.250
Ni1 0.403 0.750 0.000
Sb1 0.002 0.750 0.000
Sb2 0.271 0.504 0.250
Sb3 0.442 0.098 0.250
```

Calculated values
Formation energy without anion corrections in kJ/mol of formula units: -193
Raw total energy in eV/atom: -6.90



Material: Tc2Ni2Au
Method: DFT, PBE-GGA
State: relaxed

```
data_Tc2Ni2Au
_symmetry_space_group_name_H-M 'I 4/m m m'
_symmetry_Int_Tables_number 139
_symmetry_space_group_name_Hall '-I 4 2'
_cell_length_a 3.563
_cell_length_b 3.563
_cell_length_c 11.621
_cell_angle_alpha 90.00
_cell_angle_beta 90.00
_cell_angle_gamma 90.00
loop_
_atom_site_label
_atom_site_fract_x
_atom_site_fract_y
_atom_site_fract_z
Tc1 0.000 0.500 0.250
Ni1 0.000 0.000 0.097
Au1 0.000 0.000 0.500
```

Calculated values
Distance to the lowest polymorph of the same formula in eV/atom: 0.1256
Raw total energy in eV/atom: -6.74



Material: Er2NiHg
Method: DFT, PBE-GGA
State: relaxed

```
data_Er2NiHg
_symmetry_space_group_name_H-M 'P 4/m m m'
_symmetry_Int_Tables_number 123
_symmetry_space_group_name_Hall '-P 4 2'
_cell_length_a 3.431
_cell_length_b 3.431
_cell_length_c 7.438
_cell_angle_alpha 90.00
_cell_angle_beta 90.00
_cell_angle_gamma 90.00
loop_
_atom_site_label
_atom_site_fract_x
_atom_site_fract_y
_atom_site_fract_z
Er1 0.000 0.000 0.216
Ni1 0.500 0.500 0.000
Hg1 0.500 0.500 0.500
```

Calculated values
Distance to the lowest polymorph of the same formula in eV/atom: 0.0000
Raw total energy in eV/atom: -4.27



Material: PrZnSb2O6
Method: DFT, PBE-GGA
State: relaxed

```
data_PrZnSb2O6
_symmetry_space_group_name_H-M 'P m n 21'
_symmetry_Int_Tables_number 31
_cell_length_a 8.321
_cell_length_b 6.339
_cell_length_c 5.658
_cell_angle_alpha 90.00
_cell_angle_beta 90.00
_cell_angle_gamma 90.00
loop_
_symmetry_equiv_pos_as_xyz
'x,y,z'
'-x+1/2,-y,z+1/2'
'-x,y,z'
'x+1/2,-y,z+1/2'
loop_
_atom_site_label
_atom_site_fract_x
_atom_site_fract_y
_atom_site_fract_z
Pr1 0.000 0.165 0.000
Zn1 0.000 0.884 0.490
Sb1 0.240 0.711 0.977
O1 0.000 0.233 0.584
O2 0.000 0.795 0.823
O3 0.178 0.924 0.259
O4 0.186 0.432 0.126
```

Calculated values
Formation energy without anion corrections in kJ/mol of formula units: -1651
Raw total energy in eV/atom: -6.12



Material: KBeP
Method: DFT, PBE-GGA
State: relaxed

```
data_KBeP
_symmetry_space_group_name_H-M 'C 1 m 1'
_symmetry_Int_Tables_number 8
_cell_length_a 12.707
_cell_length_b 3.742
_cell_length_c 7.747
_cell_angle_alpha 90.00
_cell_angle_beta 127.23
_cell_angle_gamma 90.00
loop_
_symmetry_equiv_pos_as_xyz
'x,y,z'
'x,-y,z'
'x+1/2,y+1/2,z'
'x+1/2,-y+1/2,z'
loop_
_atom_site_label
_atom_site_fract_x
_atom_site_fract_y
_atom_site_fract_z
K1 0.000 0.000 0.000
K2 0.116 0.500 0.617
Be1 0.308 0.500 0.191
Be2 0.309 0.000 0.340
P1 0.307 0.000 0.059
P2 0.310 0.500 0.468
```

Calculated values
Raw total energy in eV/atom: -3.85